Entry from Alexandria: SmBe17Rh after structural relaxation (PBE).

Computed properties:
**Density of states at the Fermi level**: 5.5 states/eV/f.u.
**Electronic total energy**: -77.1 eV/cell
**Symmetry**: R3m, No. 160

Lattice parameters (Å, degrees): 5.690 5.690 5.690 83.50 83.50 83.50
Sites, in units of the cell vectors:
Be: 0.993 0.509 0.993
Be: 0.707 0.287 0.010
Be: 0.339 0.876 0.339
Be: 0.907 0.907 0.907
Be: 0.993 0.993 0.509
Be: 0.509 0.993 0.993
Be: 0.876 0.339 0.339
Be: 0.161 0.650 0.650
Be: 0.339 0.339 0.876
Be: 0.650 0.161 0.650
Be: 0.287 0.010 0.707
Be: 0.100 0.100 0.100
Be: 0.287 0.707 0.010
Be: 0.010 0.707 0.287
Be: 0.010 0.287 0.707
Be: 0.650 0.650 0.161
Be: 0.707 0.010 0.287
Sm: 0.654 0.654 0.654
Rh: 0.324 0.324 0.324